#i
DFT (PBE) results for crystalline BaLiSc2 at its relaxed geometry.

CIF file:
```
data_BaLiSc2
_chemical_formula_sum 'Ba3 Li3 Sc6'
_space_group_name_H-M_alt 'R -3 m'
_space_group_IT_number 166
_space_group_name_Hall '-R 3 2"'
_cell_length_a 5.0428
_cell_length_b 5.0428
_cell_length_c 18.5225
_cell_angle_alpha 90.00
_cell_angle_beta 90.00
_cell_angle_gamma 120.00
loop_
_atom_site_label
_atom_site_type_symbol
_atom_site_fract_x
_atom_site_fract_y
_atom_site_fract_z
_atom_site_occupancy
Ba1 Ba 0.0000 0.0000 0.0000 1
Li1 Li 0.0000 0.0000 0.5000 1
Sc1 Sc 0.0000 0.0000 0.2048 1
```

***

#ii
DFT (PBE) results for crystalline BaLiSc2 at its relaxed geometry.

CIF file:
```
data_BaLiSc2
_chemical_formula_sum 'Ba1 Li1 Sc2'
_space_group_name_H-M_alt 'P m m m'
_space_group_IT_number 47
_space_group_name_Hall '-P 2 2'
_cell_length_a 3.3893
_cell_length_b 5.4972
_cell_length_c 6.3706
_cell_angle_alpha 90.00
_cell_angle_beta 90.00
_cell_angle_gamma 90.00
loop_
_atom_site_label
_atom_site_type_symbol
_atom_site_fract_x
_atom_site_fract_y
_atom_site_fract_z
_atom_site_occupancy
Ba1 Ba 0.0000 0.0000 0.0000 1
Li1 Li 0.0000 0.0000 0.5000 1
Sc1 Sc 0.5000 0.5000 0.2626 1
```

***

#iii
DFT (PBE) results for crystalline BaLiSc2 at its relaxed geometry.

CIF file:
```
data_BaLiSc2
_chemical_formula_sum 'Ba2 Li2 Sc4'
_space_group_name_H-M_alt 'I -4 m 2'
_space_group_IT_number 119
_space_group_name_Hall 'I -4 -2'
_cell_length_a 5.5447
_cell_length_b 5.5447
_cell_length_c 7.8691
_cell_angle_alpha 90.00
_cell_angle_beta 90.00
_cell_angle_gamma 90.00
loop_
_atom_site_label
_atom_site_type_symbol
_atom_site_fract_x
_atom_site_fract_y
_atom_site_fract_z
_atom_site_occupancy
Ba1 Ba 0.0000 0.0000 0.0000 1
Li1 Li 0.0000 0.5000 0.7500 1
Sc1 Sc 0.0000 0.0000 0.5000 1
Sc2 Sc 0.0000 0.5000 0.2500 1
```

***

Most stable pick: #iii. Distance to second place: 3.3 kJ/mol of atoms.

***

#i
DFT (PBE) results for crystalline BaLiSc2 at its relaxed geometry.

CIF file:
```
data_BaLiSc2
_chemical_formula_sum 'Ba2 Li2 Sc4'
_space_group_name_H-M_alt 'I m m 2'
_space_group_IT_number 44
_space_group_name_Hall 'I 2 -2'
_cell_length_a 3.7279
_cell_length_b 5.6941
_cell_length_c 11.0169
_cell_angle_alpha 90.00
_cell_angle_beta 90.00
_cell_angle_gamma 90.00
loop_
_atom_site_label
_atom_site_type_symbol
_atom_site_fract_x
_atom_site_fract_y
_atom_site_fract_z
_atom_site_occupancy
Ba1 Ba 0.0000 0.0000 0.0000 1
Li1 Li 0.0000 0.5000 0.7454 1
Sc1 Sc 0.0000 0.0000 0.4614 1
Sc2 Sc 0.0000 0.5000 0.2084 1
```

***

#ii
DFT (PBE) results for crystalline BaLiSc2 at its relaxed geometry.

CIF file:
```
data_BaLiSc2
_chemical_formula_sum 'Ba2 Li2 Sc4'
_space_group_name_H-M_alt 'C m m m'
_space_group_IT_number 65
_space_group_name_Hall '-C 2 2'
_cell_length_a 6.4999
_cell_length_b 10.6379
_cell_length_c 3.4498
_cell_angle_alpha 90.00
_cell_angle_beta 90.00
_cell_angle_gamma 90.00
loop_
_atom_site_label
_atom_site_type_symbol
_atom_site_fract_x
_atom_site_fract_y
_atom_site_fract_z
_atom_site_occupancy
Ba1 Ba 0.0000 0.0000 0.0000 1
Li1 Li 0.0000 0.5000 0.0000 1
Sc1 Sc 0.2500 0.2500 0.5000 1
```

***

Most stable pick: #i. Distance to second place: 7.7 kJ/mol of atoms.

***

#i
DFT (PBE) results for crystalline BaLiSc2 at its relaxed geometry.

CIF file:
```
data_BaLiSc2
_chemical_formula_sum 'Ba1 Li1 Sc2'
_space_group_name_H-M_alt 'P 4 m m'
_space_group_IT_number 99
_space_group_name_Hall 'P 4 -2'
_cell_length_a 3.7893
_cell_length_b 3.7893
_cell_length_c 8.4462
_cell_angle_alpha 90.00
_cell_angle_beta 90.00
_cell_angle_gamma 90.00
loop_
_atom_site_label
_atom_site_type_symbol
_atom_site_fract_x
_atom_site_fract_y
_atom_site_fract_z
_atom_site_occupancy
Ba1 Ba 0.0000 0.0000 0.0000 1
Li1 Li 0.5000 0.5000 0.2933 1
Sc1 Sc 0.0000 0.0000 0.4761 1
Sc2 Sc 0.5000 0.5000 0.6785 1
```

***

#ii
DFT (PBE) results for crystalline BaLiSc2 at its relaxed geometry.

CIF file:
```
data_BaLiSc2
_chemical_formula_sum 'Ba1 Li1 Sc2'
_space_group_name_H-M_alt 'P 4/m m m'
_space_group_IT_number 123
_space_group_name_Hall '-P 4 2'
_cell_length_a 5.4567
_cell_length_b 5.4567
_cell_length_c 3.9494
_cell_angle_alpha 90.00
_cell_angle_beta 90.00
_cell_angle_gamma 90.00
loop_
_atom_site_label
_atom_site_type_symbol
_atom_site_fract_x
_atom_site_fract_y
_atom_site_fract_z
_atom_site_occupancy
Ba1 Ba 0.0000 0.0000 0.0000 1
Li1 Li 0.5000 0.5000 0.0000 1
Sc1 Sc 0.0000 0.5000 0.5000 1
```

***

#iii
DFT (PBE) results for crystalline BaLiSc2 at its relaxed geometry.

CIF file:
```
data_BaLiSc2
_chemical_formula_sum 'Ba4 Li4 Sc8'
_space_group_name_H-M_alt 'F m -3 m'
_space_group_IT_number 225
_space_group_name_Hall '-F 4 2 3'
_cell_length_a 7.7348
_cell_length_b 7.7348
_cell_length_c 7.7348
_cell_angle_alpha 90.00
_cell_angle_beta 90.00
_cell_angle_gamma 90.00
loop_
_atom_site_label
_atom_site_type_symbol
_atom_site_fract_x
_atom_site_fract_y
_atom_site_fract_z
_atom_site_occupancy
Ba1 Ba 0.0000 0.0000 0.0000 1
Li1 Li 0.0000 0.0000 0.5000 1
Sc1 Sc 0.2500 0.2500 0.2500 1
```

***

#iv
DFT (PBE) results for crystalline BaLiSc2 at its relaxed geometry.

CIF file:
```
data_BaLiSc2
_chemical_formula_sum 'Ba3 Li3 Sc6'
_space_group_name_H-M_alt 'R -3 m'
_space_group_IT_number 166
_space_group_name_Hall '-R 3 2"'
_cell_length_a 3.4790
_cell_length_b 3.4790
_cell_length_c 33.5598
_cell_angle_alpha 90.00
_cell_angle_beta 90.00
_cell_angle_gamma 120.00
loop_
_atom_site_label
_atom_site_type_symbol
_atom_site_fract_x
_atom_site_fract_y
_atom_site_fract_z
_atom_site_occupancy
Ba1 Ba 0.0000 0.0000 0.0000 1
Li1 Li 0.0000 0.0000 0.5000 1
Sc1 Sc 0.0000 0.0000 0.2397 1
```

***

Most stable pick: #i. Distance to second place: 18.6 kJ/mol of atoms.

***

#i
DFT (PBE) results for crystalline BaLiSc at its relaxed geometry.

CIF file:
```
data_BaLiSc
_chemical_formula_sum 'Ba2 Li2 Sc2'
_space_group_name_H-M_alt 'I 4 m m'
_space_group_IT_number 107
_space_group_name_Hall 'I 4 -2'
_cell_length_a 3.8852
_cell_length_b 3.8852
_cell_length_c 12.9831
_cell_angle_alpha 90.00
_cell_angle_beta 90.00
_cell_angle_gamma 90.00
loop_
_atom_site_label
_atom_site_type_symbol
_atom_site_fract_x
_atom_site_fract_y
_atom_site_fract_z
_atom_site_occupancy
Ba1 Ba 0.0000 0.0000 0.0000 1
Li1 Li 0.0000 0.0000 0.6843 1
Sc1 Sc 0.0000 0.0000 0.2891 1
```

***

#ii
DFT (PBE) results for crystalline BaLiSc at its relaxed geometry.

CIF file:
```
data_BaLiSc
_chemical_formula_sum 'Ba4 Li4 Sc4'
_space_group_name_H-M_alt 'F -4 3 m'
_space_group_IT_number 216
_space_group_name_Hall 'F -4 2 3'
_cell_length_a 7.7414
_cell_length_b 7.7414
_cell_length_c 7.7414
_cell_angle_alpha 90.00
_cell_angle_beta 90.00
_cell_angle_gamma 90.00
loop_
_atom_site_label
_atom_site_type_symbol
_atom_site_fract_x
_atom_site_fract_y
_atom_site_fract_z
_atom_site_occupancy
Ba1 Ba 0.0000 0.0000 0.0000 1
Li1 Li 0.2500 0.2500 0.7500 1
Sc1 Sc 0.2500 0.2500 0.2500 1
```

***

#iii
DFT (PBE) results for crystalline BaLiSc at its relaxed geometry.

CIF file:
```
data_BaLiSc
_chemical_formula_sum 'Ba4 Li4 Sc4'
_space_group_name_H-M_alt 'F -4 3 m'
_space_group_IT_number 216
_space_group_name_Hall 'F -4 2 3'
_cell_length_a 7.6992
_cell_length_b 7.6992
_cell_length_c 7.6992
_cell_angle_alpha 90.00
_cell_angle_beta 90.00
_cell_angle_gamma 90.00
loop_
_atom_site_label
_atom_site_type_symbol
_atom_site_fract_x
_atom_site_fract_y
_atom_site_fract_z
_atom_site_occupancy
Ba1 Ba 0.0000 0.0000 0.0000 1
Li1 Li 0.2500 0.2500 0.2500 1
Sc1 Sc 0.0000 0.0000 0.5000 1
```

***

Most stable pick: #i. Distance to second place: 29.1 kJ/mol of atoms.

***

#i
DFT (PBE) results for crystalline Ba2LiSe2 at its relaxed geometry.

CIF file:
```
data_Ba2LiSe2
_chemical_formula_sum 'Ba4 Li2 Se4'
_space_group_name_H-M_alt 'I 4/m m m'
_space_group_IT_number 139
_space_group_name_Hall '-I 4 2'
_cell_length_a 6.0942
_cell_length_b 6.0942
_cell_length_c 12.4840
_cell_angle_alpha 90.00
_cell_angle_beta 90.00
_cell_angle_gamma 90.00
loop_
_atom_site_label
_atom_site_type_symbol
_atom_site_fract_x
_atom_site_fract_y
_atom_site_fract_z
_atom_site_occupancy
Ba1 Ba 0.0000 0.0000 0.1812 1
Li1 Li 0.0000 0.0000 0.5000 1
Se1 Se 0.0000 0.5000 0.2500 1
```

***

#ii
DFT (PBE) results for crystalline Ba2LiSe2 at its relaxed geometry.

CIF file:
```
data_Ba2LiSe2
_chemical_formula_sum 'Ba4 Li2 Se4'
_space_group_name_H-M_alt 'P 4/m b m'
_space_group_IT_number 127
_space_group_name_Hall '-P 4 2ab'
_cell_length_a 8.5779
_cell_length_b 8.5779
_cell_length_c 4.4167
_cell_angle_alpha 90.00
_cell_angle_beta 90.00
_cell_angle_gamma 90.00
loop_
_atom_site_label
_atom_site_type_symbol
_atom_site_fract_x
_atom_site_fract_y
_atom_site_fract_z
_atom_site_occupancy
Ba1 Ba 0.1521 0.3479 0.0000 1
Li1 Li 0.0000 0.0000 0.5000 1
Se1 Se 0.1585 0.6585 0.5000 1
```

***

Most stable pick: #ii. Distance to second place: 34.9 kJ/mol of atoms.